No. 1
PBE Na2In4PtAu, relaxed; SG = Amm2; crystal system = orthorhombic; energy = -3.215 eV/atom
1.0
8.034 0.000 0.000
0.000 2.216 5.254
0.000 -2.216 5.254
Au Na In Pt
1 2 4 1
Cartesian
0.000 0.000 2.987 Au
0.000 0.000 5.990 Na
4.017 0.000 4.522 Na
1.657 0.000 9.024 In
2.478 0.000 1.483 In
6.378 0.000 9.024 In
5.556 0.000 1.483 In
4.017 0.000 7.521 Pt

---

No. 2
PBE RbNaIn4Au2, relaxed; SG = Amm2; crystal system = orthorhombic; energy = -2.704 eV/atom
1.0
-3.840 4.834 5.340
4.250 -1.138 4.086
5.221 2.628 1.375
In Au Rb Na
4 2 1 1
Cartesian
7.351 2.182 5.662 In
4.959 5.194 8.989 In
0.225 1.628 2.341 In
-1.366 3.631 4.555 In
2.702 0.425 1.558 Au
4.918 3.493 6.613 Au
2.211 3.067 5.052 Rb
5.364 0.844 3.093 Na

---

No. 3
PBE NaIn2AuSe4, relaxed; SG = I-4; crystal system = tetragonal; energy = -3.553 eV/atom
1.0
-0.270 -5.110 5.417
-6.581 -3.419 -0.726
5.293 1.253 -5.093
Se Na Au In
4 1 1 2
Cartesian
0.038 -2.506 -0.898 Se
4.209 -2.338 -1.706 Se
-3.231 -6.804 1.615 Se
-4.133 -2.903 0.185 Se
0.799 -4.061 1.334 Na
0.000 0.000 0.000 Au
-3.426 -4.265 2.345 In
-2.357 -3.215 -1.737 In

---

No. 4
PBE Na4InSiAu2, relaxed; SG = P-4m2; crystal system = tetragonal; energy = -2.632 eV/atom
1.0
4.777 0.000 0.000
0.000 4.777 0.000
0.000 0.000 7.009
Na Au Si In
4 2 1 1
Cartesian
2.388 2.388 0.000 Na
2.388 0.000 5.145 Na
0.000 2.388 1.864 Na
0.000 0.000 3.505 Na
0.000 2.388 5.110 Au
2.388 0.000 1.899 Au
2.388 2.388 3.505 Si
0.000 0.000 0.000 In

---

No. 5
PBE Na4ZnInAu2, relaxed; SG = P-4m2; crystal system = tetragonal; energy = -2.172 eV/atom
1.0
-1.160 3.096 3.621
-0.379 -3.775 3.106
6.807 0.652 1.624
In Na Au Zn
1 4 2 1
Cartesian
0.000 0.000 0.000 In
3.403 0.326 0.812 Na
1.645 -1.712 1.991 Na
-0.770 -0.339 3.364 Na
4.392 2.024 2.996 Na
4.867 -1.403 2.759 Au
1.170 1.716 2.228 Au
2.634 -0.014 4.175 Zn

---

No. 6
PBE NbInNiAu, relaxed; SG = F-43m; crystal system = cubic; energy = -5.325 eV/atom
1.0
-2.757 -3.054 2.015
-4.493 0.028 -0.897
-1.864 -3.381 -2.467
Ni In Au Nb
1 1 1 1
Cartesian
-6.836 -4.806 -1.012 Ni
0.000 0.000 0.000 In
-4.557 -3.204 -0.674 Au
-2.279 -1.602 -0.337 Nb

---

No. 7
PBE NbInAuO3, relaxed; SG = Pnma; crystal system = orthorhombic; energy = -6.617 eV/atom
1.0
-0.323 -9.873 -2.931
2.732 0.304 -1.324
4.949 -2.988 9.521
O Au Nb In
12 4 4 4
Cartesian
4.470 -2.936 8.545 O
1.522 -9.774 -2.616 O
0.585 -7.902 -0.607 O
3.191 -8.033 1.225 O
0.356 -2.264 0.215 O
2.933 -3.309 1.775 O
5.635 -10.446 5.713 O
2.801 -4.677 4.703 O
3.059 -9.401 4.153 O
5.407 -4.808 6.535 O
1.849 -5.913 2.457 O
4.143 -6.797 3.471 O
0.313 -4.624 -0.415 Au
5.679 -8.086 6.344 Au
3.081 -10.353 0.467 Au
2.910 -2.357 5.462 Au
2.415 -7.937 3.160 Nb
-0.128 -8.546 -2.225 Nb
3.577 -4.773 2.768 Nb
6.120 -4.163 8.153 Nb
1.296 -1.816 2.255 In
4.696 -10.894 3.673 In
3.675 -6.219 6.153 In
2.317 -6.491 -0.224 In

---

No. 8
PBE NbInAuS3, relaxed; SG = Cmcm; crystal system = orthorhombic; energy = -5.289 eV/atom
1.0
-4.230 1.973 -6.545
-5.658 -1.040 -5.615
-6.373 4.732 5.546
S Nb Au In
6 2 2 2
Cartesian
-9.047 2.789 -4.856 S
-9.999 4.944 0.665 S
-11.121 2.082 -10.330 S
-7.214 2.877 -1.758 S
-5.140 3.583 3.716 S
-6.263 0.721 -7.279 S
0.000 0.000 0.000 Nb
-3.187 2.366 2.773 Nb
-8.433 1.828 -7.024 Au
-7.829 3.837 0.410 Au
-4.850 1.490 -2.619 In
-11.411 4.175 -3.995 In